The following is a DFT calculation (GGA-PBE) of a relaxed LiHo5Ag4 crystal.

extended XYZ file:
```
10
Lattice="-3.484 0.171 -0.939 0.416 -2.929 -2.073 -4.351 -10.669 14.200" Properties=species:S:1:pos:R:3 pbc="T T T"
Ag -0.864 -2.119 2.821
Ag -1.742 -4.272 5.686
Ag -2.609 -6.397 8.514
Ag -3.487 -8.550 11.379
Li 0.000 0.000 0.000
Ho -1.983 -2.479 -0.042
Ho -4.578 -8.842 8.426
Ho -5.437 -10.948 11.229
Ho -3.710 -6.713 5.594
Ho -2.842 -4.585 2.761
```

Summary:
**Total magnetization**: 0.000 μB per atom
**V**: 238.6 Å³/cell
**DFT formation energy**: -2.39 eV per formula unit
**Electronic total energy**: -3.86 eV/atom
**N(E_F)**: 0.5067 states/eV per atom